VASP calculation (GGA-PBE) on a relaxed structure of ZrAl2Ni.

Calculated values
- DFT formation energy: -10.4 kJ/mol of atoms
- Calculated total energy: -5.562 eV per atom
- Fermi-level density of states: 0.457 states/eV per atom

Structure (extended XYZ):
```
4
Lattice="2.890 0.000 0.000 -1.445 2.503 0.000 0.000 0.000 9.210" Properties=species:S:1:pos:R:3 pbc="T T T"
Zr 0.000 0.000 0.000
Al 0.000 0.000 6.283
Al 1.445 0.834 2.555
Ni 0.000 1.668 4.437
```